This record from Alexandria describes a relaxed structure of Cr2NiW. The functional is PBE.

```
data_Cr2NiW
_symmetry_space_group_name_H-M 'I m m 2'
_symmetry_Int_Tables_number 44
_symmetry_space_group_name_Hall 'I 2 -2'
_cell_length_a 3.143
_cell_length_b 4.099
_cell_length_c 7.874
_cell_angle_alpha 90.00
_cell_angle_beta 90.00
_cell_angle_gamma 90.00
loop_
_atom_site_label
_atom_site_type_symbol
_atom_site_fract_x
_atom_site_fract_y
_atom_site_fract_z
Cr1 Cr 0.000 0.000 0.000
Cr2 Cr 0.000 0.500 0.274
Ni1 Ni 0.000 0.500 0.759
W1 W 0.000 0.000 0.523
```


This record from Alexandria describes a relaxed structure of Cr2NiW. The functional is PBE.

```
data_Cr2NiW
_symmetry_space_group_name_H-M 'P m m 2'
_symmetry_Int_Tables_number 25
_symmetry_space_group_name_Hall 'P 2 -2'
_cell_length_a 2.534
_cell_length_b 3.814
_cell_length_c 5.289
_cell_angle_alpha 90.00
_cell_angle_beta 90.00
_cell_angle_gamma 90.00
loop_
_atom_site_label
_atom_site_type_symbol
_atom_site_fract_x
_atom_site_fract_y
_atom_site_fract_z
Cr1 Cr 0.000 0.000 0.000
Cr2 Cr 0.500 0.500 0.232
Ni1 Ni 0.000 0.000 0.471
W1 W 0.500 0.500 0.728
```


This record from Alexandria describes a relaxed structure of Cr2NiW. The functional is PBE.

```
data_Cr2NiW
_symmetry_space_group_name_H-M 'I -4 2 d'
_symmetry_Int_Tables_number 122
_symmetry_space_group_name_Hall 'I -4 2bw'
_cell_length_a 6.620
_cell_length_b 6.620
_cell_length_c 4.967
_cell_angle_alpha 90.00
_cell_angle_beta 90.00
_cell_angle_gamma 90.00
loop_
_atom_site_label
_atom_site_type_symbol
_atom_site_fract_x
_atom_site_fract_y
_atom_site_fract_z
Cr1 Cr 0.236 0.250 0.125
Ni1 Ni 0.000 0.000 0.000
W1 W 0.000 0.000 0.500
```


This record from Alexandria describes a relaxed structure of CrNiW2. The functional is PBE.

```
data_CrNiW2
_symmetry_space_group_name_H-M 'I -4 m 2'
_symmetry_Int_Tables_number 119
_symmetry_space_group_name_Hall 'I -4 -2'
_cell_length_a 3.735
_cell_length_b 3.735
_cell_length_c 7.965
_cell_angle_alpha 90.00
_cell_angle_beta 90.00
_cell_angle_gamma 90.00
loop_
_atom_site_label
_atom_site_type_symbol
_atom_site_fract_x
_atom_site_fract_y
_atom_site_fract_z
Cr1 Cr 0.000 0.000 0.000
Ni1 Ni 0.000 0.500 0.750
W1 W 0.000 0.000 0.500
W2 W 0.000 0.500 0.250
```


This record from Alexandria describes a relaxed structure of CrNiW2. The functional is PBE.

```
data_CrNiW2
_symmetry_space_group_name_H-M 'P 4 m m'
_symmetry_Int_Tables_number 99
_symmetry_space_group_name_Hall 'P 4 -2'
_cell_length_a 3.140
_cell_length_b 3.140
_cell_length_c 5.637
_cell_angle_alpha 90.00
_cell_angle_beta 90.00
_cell_angle_gamma 90.00
loop_
_atom_site_label
_atom_site_type_symbol
_atom_site_fract_x
_atom_site_fract_y
_atom_site_fract_z
Cr1 Cr 0.000 0.000 0.000
Ni1 Ni 0.500 0.500 0.238
W1 W 0.000 0.000 0.472
W2 W 0.500 0.500 0.757
```


This record from Alexandria describes a relaxed structure of CrNiW2. The functional is PBE.

```
data_CrNiW2
_symmetry_space_group_name_H-M 'R 3 m'
_symmetry_Int_Tables_number 160
_symmetry_space_group_name_Hall 'R 3 -2"'
_cell_length_a 2.6979
_cell_length_b 2.6979
_cell_length_c 27.1001
_cell_angle_alpha 90.00
_cell_angle_beta 90.00
_cell_angle_gamma 120.00
loop_
_atom_site_label
_atom_site_type_symbol
_atom_site_fract_x
_atom_site_fract_y
_atom_site_fract_z
Cr1 Cr 0.0000 0.0000 0.0000
Ni1 Ni 0.0000 0.0000 0.2605
W1 W 0.0000 0.0000 0.5125
W2 W 0.0000 0.0000 0.7528
```


This record from Alexandria describes a relaxed structure of CrNiW2. The functional is PBE.

```
data_CrNiW2
_symmetry_space_group_name_H-M 'C 1 m 1'
_symmetry_Int_Tables_number 8
_symmetry_space_group_name_Hall 'C -2y'
_cell_length_a 8.952
_cell_length_b 2.720
_cell_length_c 4.632
_cell_angle_alpha 90.00
_cell_angle_beta 100.18
_cell_angle_gamma 90.00
loop_
_atom_site_label
_atom_site_type_symbol
_atom_site_fract_x
_atom_site_fract_y
_atom_site_fract_z
Cr1 Cr 0.000 0.000 0.000
Ni1 Ni 0.229 0.500 0.255
W1 W 0.239 0.000 0.767
W2 W 0.472 0.000 0.469
```


This record from Alexandria describes a relaxed structure of CrNiW2. The functional is PBE.

```
data_CrNiW2
_symmetry_space_group_name_H-M 'F -4 3 m'
_symmetry_Int_Tables_number 216
_symmetry_space_group_name_Hall 'F -4 2 3'
_cell_length_a 6.099
_cell_length_b 6.099
_cell_length_c 6.099
_cell_angle_alpha 90.00
_cell_angle_beta 90.00
_cell_angle_gamma 90.00
loop_
_atom_site_label
_atom_site_type_symbol
_atom_site_fract_x
_atom_site_fract_y
_atom_site_fract_z
Cr1 Cr 0.000 0.000 0.000
Ni1 Ni 0.250 0.250 0.250
W1 W 0.000 0.000 0.500
W2 W 0.250 0.250 0.750
```


This record from Alexandria describes a relaxed structure of CrNiW2. The functional is PBE.

```
data_CrNiW2
_symmetry_space_group_name_H-M 'P 1 2/m 1'
_symmetry_Int_Tables_number 10
_symmetry_space_group_name_Hall '-P 2y'
_cell_length_a 2.622
_cell_length_b 4.160
_cell_length_c 5.221
_cell_angle_alpha 90.00
_cell_angle_beta 101.15
_cell_angle_gamma 90.00
loop_
_atom_site_label
_atom_site_type_symbol
_atom_site_fract_x
_atom_site_fract_y
_atom_site_fract_z
Cr1 Cr 0.000 0.000 0.000
Ni1 Ni 0.500 0.000 0.500
W1 W 0.236 0.500 0.753
```


This record from Alexandria describes a relaxed structure of Cr2NiW. The functional is PBE.

```
data_Cr2NiW
_symmetry_space_group_name_H-M 'P 4/m m m'
_symmetry_Int_Tables_number 123
_symmetry_space_group_name_Hall '-P 4 2'
_cell_length_a 3.681
_cell_length_b 3.681
_cell_length_c 3.721
_cell_angle_alpha 90.00
_cell_angle_beta 90.00
_cell_angle_gamma 90.00
loop_
_atom_site_label
_atom_site_type_symbol
_atom_site_fract_x
_atom_site_fract_y
_atom_site_fract_z
Cr1 Cr 0.000 0.500 0.000
Ni1 Ni 0.000 0.000 0.500
W1 W 0.500 0.500 0.500
```


This record from Alexandria describes a relaxed structure of CrNiW2. The functional is PBE.

```
data_CrNiW2
_symmetry_space_group_name_H-M 'P m m m'
_symmetry_Int_Tables_number 47
_symmetry_space_group_name_Hall '-P 2 2'
_cell_length_a 2.619
_cell_length_b 3.894
_cell_length_c 5.465
_cell_angle_alpha 90.00
_cell_angle_beta 90.00
_cell_angle_gamma 90.00
loop_
_atom_site_label
_atom_site_type_symbol
_atom_site_fract_x
_atom_site_fract_y
_atom_site_fract_z
Cr1 Cr 0.000 0.000 0.000
Ni1 Ni 0.000 0.000 0.500
W1 W 0.500 0.500 0.251
```


This record from Alexandria describes a relaxed structure of Cr2NiW. The functional is PBE.

```
data_Cr2NiW
_symmetry_space_group_name_H-M 'P 4/m m m'
_symmetry_Int_Tables_number 123
_symmetry_space_group_name_Hall '-P 4 2'
_cell_length_a 2.545
_cell_length_b 2.545
_cell_length_c 7.925
_cell_angle_alpha 90.00
_cell_angle_beta 90.00
_cell_angle_gamma 90.00
loop_
_atom_site_label
_atom_site_type_symbol
_atom_site_fract_x
_atom_site_fract_y
_atom_site_fract_z
Cr1 Cr 0.000 0.000 0.225
Ni1 Ni 0.500 0.500 0.000
W1 W 0.500 0.500 0.500
```


This record from Alexandria describes a relaxed structure of Cr2NiW. The functional is PBE.

```
data_Cr2NiW
_symmetry_space_group_name_H-M 'F -4 3 m'
_symmetry_Int_Tables_number 216
_symmetry_space_group_name_Hall 'F -4 2 3'
_cell_length_a 5.912
_cell_length_b 5.912
_cell_length_c 5.912
_cell_angle_alpha 90.00
_cell_angle_beta 90.00
_cell_angle_gamma 90.00
loop_
_atom_site_label
_atom_site_type_symbol
_atom_site_fract_x
_atom_site_fract_y
_atom_site_fract_z
Cr1 Cr 0.000 0.000 0.000
Cr2 Cr 0.250 0.250 0.250
Ni1 Ni 0.000 0.000 0.500
W1 W 0.250 0.250 0.750
```


This record from Alexandria describes a relaxed structure of CrNiW2. The functional is PBE.

```
data_CrNiW2
_symmetry_space_group_name_H-M 'I -4 2 d'
_symmetry_Int_Tables_number 122
_symmetry_space_group_name_Hall 'I -4 2bw'
_cell_length_a 6.719
_cell_length_b 6.719
_cell_length_c 5.254
_cell_angle_alpha 90.00
_cell_angle_beta 90.00
_cell_angle_gamma 90.00
loop_
_atom_site_label
_atom_site_type_symbol
_atom_site_fract_x
_atom_site_fract_y
_atom_site_fract_z
Cr1 Cr 0.000 0.000 0.000
Ni1 Ni 0.000 0.000 0.500
W1 W 0.248 0.250 0.625
```


This record from Alexandria describes a relaxed structure of Cr2NiW. The functional is PBE.

```
data_Cr2NiW
_symmetry_space_group_name_H-M 'F m -3 m'
_symmetry_Int_Tables_number 225
_symmetry_space_group_name_Hall '-F 4 2 3'
_cell_length_a 5.927
_cell_length_b 5.927
_cell_length_c 5.927
_cell_angle_alpha 90.00
_cell_angle_beta 90.00
_cell_angle_gamma 90.00
loop_
_atom_site_label
_atom_site_type_symbol
_atom_site_fract_x
_atom_site_fract_y
_atom_site_fract_z
Cr1 Cr 0.250 0.250 0.250
Ni1 Ni 0.000 0.000 0.000
W1 W 0.000 0.000 0.500
```


This record from Alexandria describes a relaxed structure of CrNiW2. The functional is PBE.

```
data_CrNiW2
_symmetry_space_group_name_H-M 'C m m 2'
_symmetry_Int_Tables_number 35
_symmetry_space_group_name_Hall 'C 2 -2'
_cell_length_a 3.192
_cell_length_b 4.238
_cell_length_c 8.239
_cell_angle_alpha 90.00
_cell_angle_beta 90.00
_cell_angle_gamma 90.00
loop_
_atom_site_label
_atom_site_type_symbol
_atom_site_fract_x
_atom_site_fract_y
_atom_site_fract_z
Cr1 Cr 0.000 0.000 0.000
Ni1 Ni 0.000 0.500 0.221
W1 W 0.000 0.000 0.467
W2 W 0.000 0.500 0.746
```


This record from Alexandria describes a relaxed structure of Cr2NiW. The functional is PBE.

```
data_Cr2NiW
_symmetry_space_group_name_H-M 'I 4/m m m'
_symmetry_Int_Tables_number 139
_symmetry_space_group_name_Hall '-I 4 2'
_cell_length_a 3.650
_cell_length_b 3.650
_cell_length_c 7.626
_cell_angle_alpha 90.00
_cell_angle_beta 90.00
_cell_angle_gamma 90.00
loop_
_atom_site_label
_atom_site_type_symbol
_atom_site_fract_x
_atom_site_fract_y
_atom_site_fract_z
Cr1 Cr 0.000 0.500 0.250
Ni1 Ni 0.000 0.000 0.000
W1 W 0.000 0.000 0.500
```


This record from Alexandria describes a relaxed structure of CrNiW2. The functional is PBE.

```
data_CrNiW2
_symmetry_space_group_name_H-M 'P 4/m m m'
_symmetry_Int_Tables_number 123
_symmetry_space_group_name_Hall '-P 4 2'
_cell_length_a 3.896
_cell_length_b 3.896
_cell_length_c 3.621
_cell_angle_alpha 90.00
_cell_angle_beta 90.00
_cell_angle_gamma 90.00
loop_
_atom_site_label
_atom_site_type_symbol
_atom_site_fract_x
_atom_site_fract_y
_atom_site_fract_z
Cr1 Cr 0.000 0.000 0.000
Ni1 Ni 0.500 0.500 0.000
W1 W 0.000 0.500 0.500
```


This record from Alexandria describes a relaxed structure of CrNi2W2. The functional is PBE.

```
data_CrNi2W2
_symmetry_space_group_name_H-M 'P 4/m b m'
_symmetry_Int_Tables_number 127
_symmetry_space_group_name_Hall '-P 4 2ab'
_cell_length_a 6.360
_cell_length_b 6.360
_cell_length_c 3.337
_cell_angle_alpha 90.00
_cell_angle_beta 90.00
_cell_angle_gamma 90.00
loop_
_atom_site_label
_atom_site_type_symbol
_atom_site_fract_x
_atom_site_fract_y
_atom_site_fract_z
Cr1 Cr 0.000 0.000 0.000
Ni1 Ni 0.128 0.372 0.000
W1 W 0.174 0.674 0.500
```


This record from Alexandria describes a relaxed structure of CrNi3W. The functional is PBE.

```
data_CrNi3W
_symmetry_space_group_name_H-M 'P m -3 m'
_symmetry_Int_Tables_number 221
_symmetry_space_group_name_Hall '-P 4 2 3'
_cell_length_a 4.147
_cell_length_b 4.147
_cell_length_c 4.147
_cell_angle_alpha 90.00
_cell_angle_beta 90.00
_cell_angle_gamma 90.00
loop_
_atom_site_label
_atom_site_type_symbol
_atom_site_fract_x
_atom_site_fract_y
_atom_site_fract_z
Cr1 Cr 0.000 0.000 0.000
Ni1 Ni 0.000 0.000 0.500
W1 W 0.500 0.500 0.500
```


Number 1: energy of formation 0.1551 eV per atom. Number 2: energy of formation 0.2409 eV per atom. Number 3: energy of formation 0.7875 eV per atom. Number 4: energy of formation 0.2357 eV per atom. Number 5: energy of formation 0.1800 eV per atom. Number 6: energy of formation 0.4046 eV per atom. Number 7: energy of formation 0.2247 eV per atom. Number 8: energy of formation 0.2651 eV per atom. Number 9: energy of formation 0.2036 eV per atom. Number 10: energy of formation 0.1617 eV per atom. Number 11: energy of formation 0.2458 eV per atom. Number 12: energy of formation 0.2359 eV per atom. Number 13: energy of formation 0.2260 eV per atom. Number 14: energy of formation 0.7939 eV per atom. Number 15: energy of formation 0.2012 eV per atom. Number 16: energy of formation 0.1415 eV per atom. Number 17: energy of formation 0.2239 eV per atom. Number 18: energy of formation 0.1713 eV per atom. Number 19: energy of formation 0.2697 eV per atom. Number 20: energy of formation 1.3740 eV per atom.